[1]
Material: BaNa2Mg
Method: DFT, PBE-GGA
State: relaxed

Structure (CIF):
```
data_BaNa2Mg
_chemical_formula_sum 'Ba4 Na8 Mg4'
_symmetry_space_group_name_H-M 'F -4 3 m'
_symmetry_Int_Tables_number 216
_symmetry_space_group_name_Hall 'F -4 2 3'
_cell_length_a 8.576
_cell_length_b 8.576
_cell_length_c 8.576
_cell_angle_alpha 90.00
_cell_angle_beta 90.00
_cell_angle_gamma 90.00
loop_
_atom_site_label
_atom_site_type_symbol
_atom_site_fract_x
_atom_site_fract_y
_atom_site_fract_z
Ba1 Ba 0.000 0.000 0.000
Na1 Na 0.000 0.000 0.500
Na2 Na 0.250 0.250 0.750
Mg1 Mg 0.250 0.250 0.250
```

Properties
E_tot = -23.9 eV per cell
Energy of formation = 18 kJ/mol of formula units


[2]
Material: BaNa2Mg2
Method: DFT, PBE-GGA
State: relaxed

Structure (CIF):
```
data_BaNa2Mg2
_chemical_formula_sum 'Ba2 Na4 Mg4'
_symmetry_space_group_name_H-M 'P 4/m b m'
_symmetry_Int_Tables_number 127
_symmetry_space_group_name_Hall '-P 4 2ab'
_cell_length_a 9.653
_cell_length_b 9.653
_cell_length_c 3.705
_cell_angle_alpha 90.00
_cell_angle_beta 90.00
_cell_angle_gamma 90.00
loop_
_atom_site_label
_atom_site_type_symbol
_atom_site_fract_x
_atom_site_fract_y
_atom_site_fract_z
Ba1 Ba 0.000 0.000 0.000
Na1 Na 0.118 0.382 0.000
Mg1 Mg 0.181 0.681 0.500
```

Properties
E_tot = -14.6 eV per cell
Energy of formation = 42 kJ/mol of formula units
Energy above the lowest structure with this stoichiometry = 11.3 meV per atom


[3]
Material: BaNaMg10
Method: DFT, PBE-GGA
State: relaxed

Structure (CIF):
```
data_BaNaMg10
_chemical_formula_sum 'Ba1 Na1 Mg10'
_symmetry_space_group_name_H-M 'P m m m'
_symmetry_Int_Tables_number 47
_cell_length_a 5.175
_cell_length_b 6.070
_cell_length_c 10.834
_cell_angle_alpha 90.00
_cell_angle_beta 90.00
_cell_angle_gamma 90.00
loop_
_symmetry_equiv_pos_as_xyz
'x,y,z'
'-x,-y,-z'
'-x,-y,z'
'x,y,-z'
'x,-y,-z'
'-x,y,z'
'-x,y,-z'
'x,-y,z'
loop_
_atom_site_label
_atom_site_type_symbol
_atom_site_fract_x
_atom_site_fract_y
_atom_site_fract_z
Ba1 Ba 0.000 0.000 0.000
Na1 Na 0.000 0.500 0.500
Mg1 Mg 0.000 0.000 0.343
Mg2 Mg 0.000 0.500 0.182
Mg3 Mg 0.500 0.000 0.500
Mg4 Mg 0.500 0.245 0.247
Mg5 Mg 0.500 0.500 0.000
```

Properties
E_tot = -18.9 eV per cell
Energy of formation = 30 kJ/mol of formula units


[4]
Material: Ba2Na2Mg
Method: DFT, PBE-GGA
State: relaxed

Structure (CIF):
```
data_Ba2Na2Mg
_chemical_formula_sum 'Ba4 Na4 Mg2'
_symmetry_space_group_name_H-M 'P 4/m b m'
_symmetry_Int_Tables_number 127
_symmetry_space_group_name_Hall '-P 4 2ab'
_cell_length_a 8.753
_cell_length_b 8.753
_cell_length_c 5.822
_cell_angle_alpha 90.00
_cell_angle_beta 90.00
_cell_angle_gamma 90.00
loop_
_atom_site_label
_atom_site_type_symbol
_atom_site_fract_x
_atom_site_fract_y
_atom_site_fract_z
Ba1 Ba 0.183 0.317 0.000
Na1 Na 0.130 0.630 0.500
Mg1 Mg 0.000 0.000 0.500
```

Properties
E_tot = -15.5 eV per cell
Energy of formation = 32 kJ/mol of formula units
Energy above the lowest structure with this stoichiometry = 99.3 meV per atom


[5]
Material: Ba2Na2Mg
Method: DFT, PBE-GGA
State: relaxed

Structure (CIF):
```
data_Ba2Na2Mg
_chemical_formula_sum 'Ba4 Na4 Mg2'
_symmetry_space_group_name_H-M 'I 4/m m m'
_symmetry_Int_Tables_number 139
_symmetry_space_group_name_Hall '-I 4 2'
_cell_length_a 4.535
_cell_length_b 4.535
_cell_length_c 22.185
_cell_angle_alpha 90.00
_cell_angle_beta 90.00
_cell_angle_gamma 90.00
loop_
_atom_site_label
_atom_site_type_symbol
_atom_site_fract_x
_atom_site_fract_y
_atom_site_fract_z
Ba1 Ba 0.000 0.000 0.093
Na1 Na 0.000 0.500 0.250
Mg1 Mg 0.000 0.000 0.500
```

Properties
E_tot = -15.6 eV per cell
Energy of formation = 25 kJ/mol of formula units
Energy above the lowest structure with this stoichiometry = 83.4 meV per atom


[6]
Material: Ba3Na8Mg
Method: DFT, PBE-GGA
State: relaxed

Structure (CIF):
```
data_Ba3Na8Mg
_chemical_formula_sum 'Ba9 Na24 Mg3'
_symmetry_space_group_name_H-M 'R 3 m'
_symmetry_Int_Tables_number 160
_symmetry_space_group_name_Hall 'R 3 -2"'
_cell_length_a 7.1021
_cell_length_b 7.1021
_cell_length_c 34.5183
_cell_angle_alpha 90.00
_cell_angle_beta 90.00
_cell_angle_gamma 120.00
loop_
_atom_site_label
_atom_site_type_symbol
_atom_site_fract_x
_atom_site_fract_y
_atom_site_fract_z
Ba1 Ba 0.0000 0.0000 0.0000
Ba2 Ba 0.0000 0.0000 0.1299
Ba3 Ba 0.0000 0.0000 0.6169
Na1 Na 0.0000 0.0000 0.3114
Na2 Na 0.0000 0.0000 0.8138
Na3 Na 0.0028 0.5014 0.5598
Na4 Na 0.0032 0.5016 0.0653
Mg1 Mg 0.0000 0.0000 0.4989
```

Properties
E_tot = -52.3 eV per cell
Energy of formation = 47 kJ/mol of formula units


[7]
Material: BaNa4Mg
Method: DFT, PBE-GGA
State: relaxed

Structure (CIF):
```
data_BaNa4Mg
_chemical_formula_sum 'Ba4 Na16 Mg4'
_symmetry_space_group_name_H-M 'F -4 3 m'
_symmetry_Int_Tables_number 216
_symmetry_space_group_name_Hall 'F -4 2 3'
_cell_length_a 9.612
_cell_length_b 9.612
_cell_length_c 9.612
_cell_angle_alpha 90.00
_cell_angle_beta 90.00
_cell_angle_gamma 90.00
loop_
_atom_site_label
_atom_site_type_symbol
_atom_site_fract_x
_atom_site_fract_y
_atom_site_fract_z
Ba1 Ba 0.000 0.000 0.000
Na1 Na 0.123 0.123 0.623
Mg1 Mg 0.250 0.250 0.250
```

Properties
E_tot = -33.4 eV per cell
Energy of formation = 44 kJ/mol of formula units


[8]
Material: Ba6NaMg3
Method: DFT, PBE-GGA
State: relaxed

Structure (CIF):
```
data_Ba6NaMg3
_chemical_formula_sum 'Ba12 Na2 Mg6'
_symmetry_space_group_name_H-M 'P 1 21/m 1'
_symmetry_Int_Tables_number 11
_cell_length_a 11.678
_cell_length_b 6.225
_cell_length_c 13.325
_cell_angle_alpha 90.00
_cell_angle_beta 100.08
_cell_angle_gamma 90.00
loop_
_symmetry_equiv_pos_as_xyz
'x,y,z'
'-x,-y,-z'
'-x,y+1/2,-z'
'x,-y+1/2,z'
loop_
_atom_site_label
_atom_site_type_symbol
_atom_site_fract_x
_atom_site_fract_y
_atom_site_fract_z
Ba1 Ba 0.040 0.250 0.404
Ba2 Ba 0.123 0.750 0.184
Ba3 Ba 0.217 0.250 0.971
Ba4 Ba 0.301 0.750 0.774
Ba5 Ba 0.353 0.250 0.286
Ba6 Ba 0.418 0.250 0.593
Na1 Na 0.452 0.750 0.094
Mg1 Mg 0.034 0.750 0.892
Mg2 Mg 0.134 0.250 0.691
Mg3 Mg 0.261 0.750 0.474
```

Properties
E_tot = -35.4 eV per cell
Energy of formation = -6 kJ/mol of formula units


[9]
Material: BaNa2Mg
Method: DFT, PBE-GGA
State: relaxed

Structure (CIF):
```
data_BaNa2Mg
_chemical_formula_sum 'Ba1 Na2 Mg1'
_symmetry_space_group_name_H-M 'P 4/m m m'
_symmetry_Int_Tables_number 123
_symmetry_space_group_name_Hall '-P 4 2'
_cell_length_a 4.279
_cell_length_b 4.279
_cell_length_c 8.573
_cell_angle_alpha 90.00
_cell_angle_beta 90.00
_cell_angle_gamma 90.00
loop_
_atom_site_label
_atom_site_type_symbol
_atom_site_fract_x
_atom_site_fract_y
_atom_site_fract_z
Ba1 Ba 0.000 0.000 0.000
Na1 Na 0.500 0.500 0.303
Mg1 Mg 0.000 0.000 0.500
```

Properties
E_tot = -5.8 eV per cell
Energy of formation = 35 kJ/mol of formula units


[10]
Material: BaNa2Mg
Method: DFT, PBE-GGA
State: relaxed

Structure (CIF):
```
data_BaNa2Mg
_chemical_formula_sum 'Ba1 Na2 Mg1'
_symmetry_space_group_name_H-M 'P 4/m m m'
_symmetry_Int_Tables_number 123
_symmetry_space_group_name_Hall '-P 4 2'
_cell_length_a 5.322
_cell_length_b 5.322
_cell_length_c 5.813
_cell_angle_alpha 90.00
_cell_angle_beta 90.00
_cell_angle_gamma 90.00
loop_
_atom_site_label
_atom_site_type_symbol
_atom_site_fract_x
_atom_site_fract_y
_atom_site_fract_z
Ba1 Ba 0.000 0.000 0.000
Na1 Na 0.000 0.500 0.500
Mg1 Mg 0.500 0.500 0.000
```

Properties
E_tot = -5.8 eV per cell
Energy of formation = 32 kJ/mol of formula units


[11]
Material: Ba4NaMg3
Method: DFT, PBE-GGA
State: relaxed

Structure (CIF):
```
data_Ba4NaMg3
_chemical_formula_sum 'Ba4 Na1 Mg3'
_symmetry_space_group_name_H-M 'P m m m'
_symmetry_Int_Tables_number 47
_cell_length_a 4.410
_cell_length_b 6.281
_cell_length_c 12.583
_cell_angle_alpha 90.00
_cell_angle_beta 90.00
_cell_angle_gamma 90.00
loop_
_symmetry_equiv_pos_as_xyz
'x,y,z'
'-x,-y,-z'
'-x,-y,z'
'x,y,-z'
'x,-y,-z'
'-x,y,z'
'-x,y,-z'
'x,-y,z'
loop_
_atom_site_label
_atom_site_type_symbol
_atom_site_fract_x
_atom_site_fract_y
_atom_site_fract_z
Ba1 Ba 0.000 0.000 0.000
Ba2 Ba 0.000 0.000 0.500
Ba3 Ba 0.000 0.500 0.239
Na1 Na 0.500 0.500 0.500
Mg1 Mg 0.500 0.000 0.249
Mg2 Mg 0.500 0.500 0.000
```

Properties
E_tot = -14.1 eV per cell
Energy of formation = -29 kJ/mol of formula units


[12]
Material: BaNaMg14
Method: DFT, PBE-GGA
State: relaxed

Structure (CIF):
```
data_BaNaMg14
_chemical_formula_sum 'Ba1 Na1 Mg14'
_symmetry_space_group_name_H-M 'P -6 m 2'
_symmetry_Int_Tables_number 187
_symmetry_space_group_name_Hall 'P -6 2'
_cell_length_a 6.7077
_cell_length_b 6.7077
_cell_length_c 10.6704
_cell_angle_alpha 90.00
_cell_angle_beta 90.00
_cell_angle_gamma 120.00
loop_
_atom_site_label
_atom_site_type_symbol
_atom_site_fract_x
_atom_site_fract_y
_atom_site_fract_z
Ba1 Ba 0.0000 0.0000 0.0000
Na1 Na 0.0000 0.0000 0.5000
Mg1 Mg 0.0157 0.5079 0.0000
Mg2 Mg 0.1735 0.3471 0.2598
Mg3 Mg 0.5009 0.0019 0.5000
Mg4 Mg 0.6667 0.3333 0.2418
```

Properties
E_tot = -24.3 eV per cell
Energy of formation = 124 kJ/mol of formula units


[13]
Material: BaNaMg
Method: DFT, PBE-GGA
State: relaxed

Structure (CIF):
```
data_BaNaMg
_chemical_formula_sum 'Ba4 Na4 Mg4'
_symmetry_space_group_name_H-M 'P n m a'
_symmetry_Int_Tables_number 62
_cell_length_a 12.702
_cell_length_b 6.024
_cell_length_c 6.151
_cell_angle_alpha 90.00
_cell_angle_beta 90.00
_cell_angle_gamma 90.00
loop_
_symmetry_equiv_pos_as_xyz
'x,y,z'
'-x,-y,-z'
'-x+1/2,-y,z+1/2'
'x+1/2,y,-z+1/2'
'x+1/2,-y+1/2,-z+1/2'
'-x+1/2,y+1/2,z+1/2'
'-x,y+1/2,-z'
'x,-y+1/2,z'
loop_
_atom_site_label
_atom_site_type_symbol
_atom_site_fract_x
_atom_site_fract_y
_atom_site_fract_z
Ba1 Ba 0.245 0.250 0.000
Na1 Na 0.056 0.250 0.499
Mg1 Mg 0.062 0.750 0.000
```

Properties
E_tot = -19.1 eV per cell
Energy of formation = 6 kJ/mol of formula units
Energy above the lowest structure with this stoichiometry = 17.4 meV per atom


[14]
Material: Ba6NaMg5
Method: DFT, PBE-GGA
State: relaxed

Structure (CIF):
```
data_Ba6NaMg5
_chemical_formula_sum 'Ba12 Na2 Mg10'
_symmetry_space_group_name_H-M 'C m m m'
_symmetry_Int_Tables_number 65
_symmetry_space_group_name_Hall '-C 2 2'
_cell_length_a 6.266
_cell_length_b 18.783
_cell_length_c 8.753
_cell_angle_alpha 90.00
_cell_angle_beta 90.00
_cell_angle_gamma 90.00
loop_
_atom_site_label
_atom_site_type_symbol
_atom_site_fract_x
_atom_site_fract_y
_atom_site_fract_z
Ba1 Ba 0.000 0.000 0.241
Ba2 Ba 0.000 0.330 0.244
Na1 Na 0.000 0.500 0.500
Mg1 Mg 0.000 0.165 0.000
Mg2 Mg 0.000 0.168 0.500
Mg3 Mg 0.000 0.500 0.000
```

Properties
E_tot = -42.8 eV per cell
Energy of formation = -53 kJ/mol of formula units


[15]
Material: Ba2NaMg2
Method: DFT, PBE-GGA
State: relaxed

Structure (CIF):
```
data_Ba2NaMg2
_chemical_formula_sum 'Ba4 Na2 Mg4'
_symmetry_space_group_name_H-M 'P 4/m b m'
_symmetry_Int_Tables_number 127
_symmetry_space_group_name_Hall '-P 4 2ab'
_cell_length_a 9.567
_cell_length_b 9.567
_cell_length_c 4.854
_cell_angle_alpha 90.00
_cell_angle_beta 90.00
_cell_angle_gamma 90.00
loop_
_atom_site_label
_atom_site_type_symbol
_atom_site_fract_x
_atom_site_fract_y
_atom_site_fract_z
Ba1 Ba 0.173 0.327 0.000
Na1 Na 0.000 0.000 0.500
Mg1 Mg 0.118 0.618 0.500
```

Properties
E_tot = -16.5 eV per cell
Energy of formation = 12 kJ/mol of formula units
Energy above the lowest structure with this stoichiometry = 23.0 meV per atom


[16]
Material: BaNa3Mg3
Method: DFT, PBE-GGA
State: relaxed

Structure (CIF):
```
data_BaNa3Mg3
_chemical_formula_sum 'Ba2 Na6 Mg6'
_symmetry_space_group_name_H-M 'P m -3 n'
_symmetry_Int_Tables_number 223
_symmetry_space_group_name_Hall '-P 4n 2 3'
_cell_length_a 8.423
_cell_length_b 8.423
_cell_length_c 8.423
_cell_angle_alpha 90.00
_cell_angle_beta 90.00
_cell_angle_gamma 90.00
loop_
_atom_site_label
_atom_site_type_symbol
_atom_site_fract_x
_atom_site_fract_y
_atom_site_fract_z
Ba1 Ba 0.000 0.000 0.000
Na1 Na 0.000 0.250 0.500
Mg1 Mg 0.000 0.500 0.250
```

Properties
E_tot = -15.3 eV per cell
Energy of formation = 289 kJ/mol of formula units


[17]
Material: Ba5Na4Mg
Method: DFT, PBE-GGA
State: relaxed

Structure (CIF):
```
data_Ba5Na4Mg
_chemical_formula_sum 'Ba5 Na4 Mg1'
_symmetry_space_group_name_H-M 'P m m m'
_symmetry_Int_Tables_number 47
_cell_length_a 4.528
_cell_length_b 4.540
_cell_length_c 24.059
_cell_angle_alpha 90.00
_cell_angle_beta 90.00
_cell_angle_gamma 90.00
loop_
_symmetry_equiv_pos_as_xyz
'x,y,z'
'-x,-y,-z'
'-x,-y,z'
'x,y,-z'
'x,-y,-z'
'-x,y,z'
'-x,y,-z'
'x,-y,z'
loop_
_atom_site_label
_atom_site_type_symbol
_atom_site_fract_x
_atom_site_fract_y
_atom_site_fract_z
Ba1 Ba 0.000 0.000 0.000
Ba2 Ba 0.000 0.000 0.205
Ba3 Ba 0.000 0.000 0.414
Na1 Na 0.500 0.500 0.103
Na2 Na 0.500 0.500 0.310
Mg1 Mg 0.500 0.500 0.500
```

Properties
E_tot = -16.5 eV per cell
Energy of formation = -3 kJ/mol of formula units


[18]
Material: BaNaMg3
Method: DFT, PBE-GGA
State: relaxed

Structure (CIF):
```
data_BaNaMg3
_chemical_formula_sum 'Ba1 Na1 Mg3'
_symmetry_space_group_name_H-M 'P m -3 m'
_symmetry_Int_Tables_number 221
_symmetry_space_group_name_Hall '-P 4 2 3'
_cell_length_a 6.614
_cell_length_b 6.614
_cell_length_c 6.614
_cell_angle_alpha 90.00
_cell_angle_beta 90.00
_cell_angle_gamma 90.00
loop_
_atom_site_label
_atom_site_type_symbol
_atom_site_fract_x
_atom_site_fract_y
_atom_site_fract_z
Ba1 Ba 0.000 0.000 0.000
Na1 Na 0.500 0.500 0.500
Mg1 Mg 0.000 0.000 0.500
```

Properties
E_tot = -4.1 eV per cell
Energy of formation = 382 kJ/mol of formula units
Energy above the lowest structure with this stoichiometry = 493.5 meV per atom


[19]
Material: BaNa2Mg2
Method: DFT, PBE-GGA
State: relaxed

Structure (CIF):
```
data_BaNa2Mg2
_chemical_formula_sum 'Ba2 Na4 Mg4'
_symmetry_space_group_name_H-M 'P 4/m b m'
_symmetry_Int_Tables_number 127
_symmetry_space_group_name_Hall '-P 4 2ab'
_cell_length_a 9.594
_cell_length_b 9.594
_cell_length_c 3.955
_cell_angle_alpha 90.00
_cell_angle_beta 90.00
_cell_angle_gamma 90.00
loop_
_atom_site_label
_atom_site_type_symbol
_atom_site_fract_x
_atom_site_fract_y
_atom_site_fract_z
Ba1 Ba 0.000 0.000 0.000
Na1 Na 0.173 0.327 0.500
Mg1 Mg 0.117 0.617 0.000
```

Properties
E_tot = -14.3 eV per cell
Energy of formation = 57 kJ/mol of formula units
Energy above the lowest structure with this stoichiometry = 42.2 meV per atom


[20]
Material: Ba3NaMg2
Method: DFT, PBE-GGA
State: relaxed

Structure (CIF):
```
data_Ba3NaMg2
_chemical_formula_sum 'Ba3 Na1 Mg2'
_symmetry_space_group_name_H-M 'P 4/m m m'
_symmetry_Int_Tables_number 123
_symmetry_space_group_name_Hall '-P 4 2'
_cell_length_a 4.395
_cell_length_b 4.395
_cell_length_c 13.955
_cell_angle_alpha 90.00
_cell_angle_beta 90.00
_cell_angle_gamma 90.00
loop_
_atom_site_label
_atom_site_type_symbol
_atom_site_fract_x
_atom_site_fract_y
_atom_site_fract_z
Ba1 Ba 0.000 0.000 0.000
Ba2 Ba 0.000 0.000 0.311
Na1 Na 0.500 0.500 0.500
Mg1 Mg 0.500 0.500 0.157
```

Properties
E_tot = -10.5 eV per cell
Energy of formation = -24 kJ/mol of formula units